No. 1
LiPaTe3Pd: optimized geometry, PBE.

Lattice parameters (Å, degrees): 7.9971 4.0774 9.7186 90.00 96.99 90.00
Last column: nearest neighbours and their distance in Å.
Positions (direct):
Li  0.1506  0.2500  0.1699  6 Te 2.90-3.07
Li  0.8494  0.7500  0.8301  6 Te 2.90-3.07
Pa  0.3328  0.7500  0.7204  6 Te 3.09-3.14, 3 Pd 3.15-3.19
Pa  0.6672  0.2500  0.2796  6 Te 3.09-3.14, 3 Pd 3.15-3.19
Te  0.1086  0.2500  0.8515  3 Li 2.90-3.07, 2 Pa 3.09
Te  0.2148  0.2500  0.4820  3 Pd 2.79-2.91, 1 Li 3.01
Te  0.4121  0.7500  0.1369  1 Pd 2.69, 2 Li 2.97
Te  0.5879  0.2500  0.8631  1 Pd 2.69, 2 Li 2.97
Te  0.7852  0.7500  0.5180  3 Pd 2.79-2.91, 1 Li 3.01
Te  0.8914  0.7500  0.1485  3 Li 2.90-3.07, 2 Pa 3.09
Pd  0.4281  0.7500  0.4149  4 Te 2.69-2.91, 2 Pd 2.78
Pd  0.5719  0.2500  0.5851  4 Te 2.69-2.91, 2 Pd 2.78

Volume in A^3/atom: 26.21
E_form (uncorrected) in eV/atom: -0.8099
Space group: P2_1/m, No. 11

=====

No. 2
Li3Pa2Te6Pd: optimized geometry, PBE.

Lattice parameters (Å, degrees): 7.3281 7.3281 7.4389 99.37 99.37 120.09
Last column: nearest neighbours and their distance in Å.
Positions (direct):
Li  0.0000  0.0000  0.0000  6 Te 2.98-3.03
Li  0.3283  0.6717  0.0000  6 Te 2.97-3.01
Li  0.6717  0.3283  0.0000  6 Te 2.97-3.01
Pa  0.1656  0.8344  0.5000  6 Te 3.04-3.05
Pa  0.8344  0.1656  0.5000  6 Te 3.04-3.05
Te  0.0901  0.4165  0.2469  3 Li 2.97-3.00, 1 Pd 2.98, 2 Pa 3.04-3.05
Te  0.2594  0.2594  0.7547  1 Pd 2.98, 3 Li 3.01-3.03, 2 Pa 3.04
Te  0.4165  0.0901  0.2469  3 Li 2.97-3.00, 1 Pd 2.98, 2 Pa 3.04-3.05
Te  0.5835  0.9099  0.7531  3 Li 2.97-3.00, 1 Pd 2.98, 2 Pa 3.04-3.05
Te  0.7406  0.7406  0.2453  1 Pd 2.98, 3 Li 3.01-3.03, 2 Pa 3.04
Te  0.9099  0.5835  0.7531  3 Li 2.97-3.00, 1 Pd 2.98, 2 Pa 3.04-3.05
Pd  0.5000  0.5000  0.5000  6 Te 2.98

Volume in A^3/atom: 27.23
E_form (uncorrected) in eV/atom: -0.7727
Space group: C2/m, No. 12

=====

No. 3
LiPaZnPd: optimized geometry, PBE.

Lattice parameters (Å, degrees): 6.7338 6.7338 6.7338 90.00 90.00 90.00
Last column: nearest neighbours and their distance in Å.
Positions (direct):
Li  0.0000  0.0000  0.0000  4 Pd 2.92, 4 Zn 2.92
Li  0.0000  0.5000  0.5000  4 Pd 2.92, 4 Zn 2.92
Li  0.5000  0.0000  0.5000  4 Pd 2.92, 4 Zn 2.92
Li  0.5000  0.5000  0.0000  4 Pd 2.92, 4 Zn 2.92
Pa  0.0000  0.0000  0.5000  4 Pd 2.92, 4 Zn 2.92
Pa  0.0000  0.5000  0.0000  4 Pd 2.92, 4 Zn 2.92
Pa  0.5000  0.0000  0.0000  4 Pd 2.92, 4 Zn 2.92
Pa  0.5000  0.5000  0.5000  4 Pd 2.92, 4 Zn 2.92
Zn  0.2500  0.2500  0.7500  4 Li 2.92, 4 Pa 2.92
Zn  0.2500  0.7500  0.2500  4 Li 2.92, 4 Pa 2.92
Zn  0.7500  0.2500  0.2500  4 Li 2.92, 4 Pa 2.92
Zn  0.7500  0.7500  0.7500  4 Li 2.92, 4 Pa 2.92
Pd  0.2500  0.2500  0.2500  4 Li 2.92, 4 Pa 2.92
Pd  0.2500  0.7500  0.7500  4 Li 2.92, 4 Pa 2.92
Pd  0.7500  0.2500  0.7500  4 Li 2.92, 4 Pa 2.92
Pd  0.7500  0.7500  0.2500  4 Li 2.92, 4 Pa 2.92

Volume in A^3/atom: 19.08
Energy of formation in eV per atom: -0.136
Space group: F-43m, No. 216

=====

No. 4
LiPmPa2Pt4: optimized geometry, PBE.

Lattice parameters (Å, degrees): 8.9580 8.9580 8.9580 31.19 31.19 31.19
Last column: nearest neighbours and their distance in Å.
Positions (direct):
Li  0.0000  0.0000  0.0000  2 Pt 2.68
Pm  0.5000  0.5000  0.5000  8 Pt 3.05-3.20
Pa  0.2654  0.2654  0.2654  7 Pt 2.83-2.95
Pa  0.7346  0.7346  0.7346  7 Pt 2.83-2.95
Pt  0.1048  0.1048  0.1048  1 Li 2.68, 3 Pa 2.94
Pt  0.3807  0.3807  0.3807  4 Pa 2.83-2.95, 3 Li 3.03, 1 Pm 3.05, 3 Pt 3.14
Pt  0.6193  0.6193  0.6193  4 Pa 2.83-2.95, 3 Li 3.03, 1 Pm 3.05, 3 Pt 3.14
Pt  0.8952  0.8952  0.8952  1 Li 2.68, 3 Pa 2.94

Volume in A^3/atom: 21.38
Energy of formation in eV per atom: -0.861
Space group: R-3m, No. 166

=====

No. 5
LiPmPaRh: optimized geometry, PBE.

Lattice parameters (Å, degrees): 7.0354 7.0354 7.0354 90.00 90.00 90.00
Last column: nearest neighbours and their distance in Å.
Positions (direct):
Li  0.0000  0.0000  0.0000  4 Pa 3.05, 4 Pm 3.05
Li  0.0000  0.5000  0.5000  4 Pa 3.05, 4 Pm 3.05
Li  0.5000  0.0000  0.5000  4 Pa 3.05, 4 Pm 3.05
Li  0.5000  0.5000  0.0000  4 Pa 3.05, 4 Pm 3.05
Pm  0.2500  0.2500  0.7500  4 Li 3.05, 4 Rh 3.05
Pm  0.2500  0.7500  0.2500  4 Li 3.05, 4 Rh 3.05
Pm  0.7500  0.2500  0.2500  4 Li 3.05, 4 Rh 3.05
Pm  0.7500  0.7500  0.7500  4 Li 3.05, 4 Rh 3.05
Pa  0.2500  0.2500  0.2500  4 Li 3.05, 4 Rh 3.05
Pa  0.2500  0.7500  0.7500  4 Li 3.05, 4 Rh 3.05
Pa  0.7500  0.2500  0.7500  4 Li 3.05, 4 Rh 3.05
Pa  0.7500  0.7500  0.2500  4 Li 3.05, 4 Rh 3.05
Rh  0.0000  0.0000  0.5000  4 Pa 3.05, 4 Pm 3.05
Rh  0.0000  0.5000  0.0000  4 Pa 3.05, 4 Pm 3.05
Rh  0.5000  0.0000  0.0000  4 Pa 3.05, 4 Pm 3.05
Rh  0.5000  0.5000  0.5000  4 Pa 3.05, 4 Pm 3.05

Volume in A^3/atom: 21.76
Energy of formation in eV per atom: -0.082
Space group: F-43m, No. 216

=====

No. 6
LiPm3Pa3S8: optimized geometry, PBE.

Lattice parameters (Å, degrees): 7.9291 7.9291 7.9291 59.14 59.14 59.14
Last column: nearest neighbours and their distance in Å.
Positions (direct):
Li  0.0000  0.0000  0.0000  6 S 2.72
Pm  0.0000  0.0000  0.5000  6 S 2.81-2.83
Pm  0.0000  0.5000  0.0000  6 S 2.81-2.83
Pm  0.5000  0.0000  0.0000  6 S 2.81-2.83
Pa  0.0000  0.5000  0.5000  6 S 2.74-2.76
Pa  0.5000  0.0000  0.5000  6 S 2.74-2.76
Pa  0.5000  0.5000  0.0000  6 S 2.74-2.76
S  0.2443  0.2443  0.7481  1 Li 2.72, 2 Pa 2.74, 2 Pm 2.83
S  0.2443  0.7481  0.2443  1 Li 2.72, 2 Pa 2.74, 2 Pm 2.83
S  0.2520  0.2520  0.2520  3 Pa 2.76, 3 Pm 2.81
S  0.2519  0.7557  0.7557  1 Li 2.72, 2 Pa 2.74, 2 Pm 2.83
S  0.7481  0.2443  0.2443  1 Li 2.72, 2 Pa 2.74, 2 Pm 2.83
S  0.7480  0.7480  0.7480  3 Pa 2.76, 3 Pm 2.81
S  0.7557  0.2519  0.7557  1 Li 2.72, 2 Pa 2.74, 2 Pm 2.83
S  0.7557  0.7557  0.2519  1 Li 2.72, 2 Pa 2.74, 2 Pm 2.83

Volume in A^3/atom: 23.04
E_form (uncorrected) in eV/atom: -1.7681
Space group: R-3m, No. 166

=====

No. 7
LiPmPaS4: optimized geometry, PBE.

Lattice parameters (Å, degrees): 7.5554 7.5554 7.5554 111.65 106.54 110.26
Last column: nearest neighbours and their distance in Å.
Positions (direct):
Li  0.0000  0.0000  0.0000  6 S 2.59-2.83
Li  0.5000  0.0000  0.5000  6 S 2.59-2.83
Pm  0.4172  0.6672  0.7500  6 S 2.78-2.92
Pm  0.5828  0.3328  0.2500  6 S 2.78-2.92
Pa  0.0000  0.0000  0.5000  6 S 2.67-2.75
Pa  0.0000  0.5000  0.0000  6 S 2.67-2.75
S  0.1464  0.7076  0.4387  1 Li 2.59, 2 Pa 2.75, 1 Pm 2.83
S  0.2311  0.2924  0.9387  1 Li 2.59, 2 Pa 2.75, 1 Pm 2.83
S  0.3037  0.2468  0.4431  1 Pa 2.67, 2 Pm 2.78-2.92, 2 Li 2.83
S  0.3037  0.8606  0.0569  1 Pa 2.67, 2 Pm 2.78-2.92, 2 Li 2.83
S  0.6963  0.1394  0.9431  1 Pa 2.67, 2 Pm 2.78-2.92, 2 Li 2.83
S  0.6963  0.7532  0.5569  1 Pa 2.67, 2 Pm 2.78-2.92, 2 Li 2.83
S  0.7689  0.7076  0.0613  1 Li 2.59, 2 Pa 2.75, 1 Pm 2.83
S  0.8536  0.2924  0.5613  1 Li 2.59, 2 Pa 2.75, 1 Pm 2.83

Volume in A^3/atom: 23.67
E_form (uncorrected) in eV/atom: -1.6728
Space group: Imma, No. 74

=====

No. 8
LiPm2PaS6: optimized geometry, PBE.

Lattice parameters (Å, degrees): 6.4391 6.4391 6.3370 90.00 90.00 90.00
Last column: nearest neighbours and their distance in Å.
Positions (direct):
Li  0.0000  0.0000  0.0000  5 S 2.34-2.52
Pm  0.0000  0.5000  0.4549  4 S 2.80
Pm  0.5000  0.0000  0.4549  4 S 2.80
Pa  0.5000  0.5000  0.0527  5 S 2.54-2.67
S  0.0000  0.0000  0.6302  1 Li 2.34
S  0.2404  0.2404  0.1971  1 Li 2.52, 1 Pa 2.54, 2 Pm 2.80
S  0.2404  0.7596  0.1971  1 Li 2.52, 1 Pa 2.54, 2 Pm 2.80
S  0.5000  0.5000  0.6311  1 Pa 2.67
S  0.7596  0.2404  0.1971  1 Li 2.52, 1 Pa 2.54, 2 Pm 2.80
S  0.7596  0.7596  0.1971  1 Li 2.52, 1 Pa 2.54, 2 Pm 2.80

Volume in A^3/atom: 26.27
E_form (uncorrected) in eV/atom: -1.4714
Space group: P4mm, No. 99

=====

Question: Among the records above, which one has the highest volume?
Answer: Li3Pa2Te6Pd

=====

Question: volume of number 6 (LiPm3Pa3S8)?
Answer: 23.04 A^3/atom